1.
LiCrSe2: single point on PBEsol structure, SCAN.

## Properties
- formation energy from raw total energies (eV per formula unit) = -2.2
- raw total energy (eV/atom) = -15.788
- volume (Å³ per atom) = 16.5

Unit cell a=4.539 b=4.539 c=4.539 alpha=60.00 beta=60.00 gamma=60.00
Site moments in Bohr magnetons follow the coordinates.
Element x y z (fractional)
1 Cr 0.500 0.500 0.500  3.61
2 Li 0.000 0.000 0.000  0.01
3 Se 0.250 0.250 0.250  -0.34
4 Se 0.750 0.750 0.750  -0.34

=====

2.
LaPrC4: single point on PBEsol structure, SCAN.

## Properties
- raw total energy (eV/atom) = -21.410
- energy of formation (kJ per mole of atoms) = -26
- volume (Å³ per atom) = 16.1

Unit cell a=3.856 b=3.856 c=6.502 alpha=90.00 beta=90.00 gamma=90.00
Element x y z (fractional)
1 Pr 0.000 0.000 0.000
2 C 0.000 0.000 0.600
3 C 0.500 0.500 0.100
4 C 0.500 0.500 0.900
5 C 0.000 0.000 0.400
6 La 0.500 0.500 0.500

=====

3.
K2LiTa: single point on PBEsol structure, SCAN.

## Properties
- raw total energy (eV/atom) = -20.422
- energy of formation (kJ per mole of atoms) = 95
- volume (Å³ per atom) = 28.8

Unit cell a=3.105 b=3.105 c=11.947 alpha=90.00 beta=90.00 gamma=90.00
Site moments in Bohr magnetons follow the coordinates.
Element x y z (fractional)
1 K 0.000 0.000 0.951  0.01
2 K 0.500 0.500 0.299  -0.02
3 Li 0.000 0.000 0.547  0.00
4 Ta 0.500 0.500 0.704  0.23

=====

4.
CdIn2Br: single point on PBEsol structure, SCAN.

## Properties
- formation energy from raw total energies (eV per formula unit) = -0.6
- raw total energy (eV/atom) = -29.299
- volume (Å³ per atom) = 26.1

Unit cell a=3.544 b=3.544 c=9.806 alpha=79.59 beta=79.59 gamma=60.00
Element x y z (fractional)
1 Cd 0.000 0.000 0.000
2 Br 0.500 0.500 0.500
3 In 0.248 0.248 0.257
4 In 0.752 0.752 0.743

=====

5.
K2IrRh: single point on PBEsol structure, SCAN.

## Properties
- raw total energy (eV/atom) = -29.615
- energy of formation (kJ per mole of atoms) = 74
- volume (Å³ per atom) = 18.5

Unit cell a=2.803 b=2.803 c=11.016 alpha=82.69 beta=82.69 gamma=60.00
Site moments in Bohr magnetons follow the coordinates.
Element x y z (fractional)
1 Ir 0.000 0.000 0.000  0.17
2 K 0.249 0.249 0.252  -0.01
3 K 0.751 0.751 0.748  -0.01
4 Rh 0.500 0.500 0.500  0.39

=====

6.
La4ZnAu: single point on PBEsol structure, SCAN.

## Properties
- raw total energy (eV/atom) = -42.235
- energy of formation (kJ per mole of atoms) = 27
- volume (Å³ per atom) = 28.2

Unit cell a=6.208 b=6.208 c=6.208 alpha=60.00 beta=60.00 gamma=60.00
Element x y z (fractional)
1 Au 0.000 0.000 0.000
2 La 0.875 0.375 0.375
3 La 0.375 0.375 0.375
4 La 0.375 0.375 0.875
5 La 0.375 0.875 0.375
6 Zn 0.750 0.750 0.750

=====

7.
MgZrSc2: single point on PBEsol structure, SCAN.

## Properties
- raw total energy (eV/atom) = -15.998
- energy of formation (kJ per mole of atoms) = 4
- volume (Å³ per atom) = 22.8

Unit cell a=3.193 b=4.420 c=6.467 alpha=90.00 beta=89.98 gamma=90.00
Site moments in Bohr magnetons follow the coordinates.
Element x y z (fractional)
1 Sc 0.000 0.000 0.762  0.15
2 Sc 0.000 0.000 0.238  0.15
3 Mg 0.500 0.500 0.500  0.00
4 Zr 0.500 0.500 0.000  0.24

=====

8.
BaCuO3: single point on PBEsol structure, SCAN.

## Properties
- formation energy from raw total energies (eV per formula unit) = -7.7
- raw total energy (eV/atom) = -16.222
- volume (Å³ per atom) = 13.6

Unit cell a=4.941 b=5.630 c=5.630 alpha=119.72 beta=91.35 gamma=91.35
Site moments in Bohr magnetons follow the coordinates.
Element x y z (fractional)
1 O 0.795 0.153 0.312  0.22
2 O 0.295 0.312 0.153  0.22
3 O 0.250 0.854 0.146  0.08
4 O 0.750 0.146 0.854  0.08
5 O 0.205 0.847 0.688  0.22
6 O 0.705 0.688 0.847  0.22
7 Ba 0.250 0.335 0.665  0.01
8 Ba 0.750 0.665 0.335  0.01
9 Cu 0.500 0.000 0.000  0.40
10 Cu 0.000 0.000 0.000  0.40

=====

9.
ReRu2Au: single point on PBEsol structure, SCAN.

## Properties
- raw total energy (eV/atom) = -52.352
- energy of formation (kJ per mole of atoms) = 12
- volume (Å³ per atom) = 14.6

Unit cell a=2.732 b=2.732 c=9.145 alpha=81.41 beta=81.41 gamma=60.00
Element x y z (fractional)
1 Au 0.500 0.500 0.500
2 Re 0.000 0.000 0.000
3 Ru 0.255 0.255 0.235
4 Ru 0.745 0.745 0.765

=====

10.
Be2CrNi: single point on PBEsol structure, SCAN.

## Properties
- raw total energy (eV/atom) = -10.909
- energy of formation (kJ per mole of atoms) = -9
- volume (Å³ per atom) = 9.1

Unit cell a=2.429 b=3.877 c=3.877 alpha=90.00 beta=90.00 gamma=90.00
Element x y z (fractional)
1 Ni 0.500 0.000 0.000
2 Be 0.000 0.000 0.500
3 Be 0.000 0.500 0.000
4 Cr 0.500 0.500 0.500

=====

11.
Na2MoAuC: single point on PBEsol structure, SCAN.

## Properties
- raw total energy (eV/atom) = -23.404
- energy of formation (kJ per mole of atoms) = 107
- volume (Å³ per atom) = 20.1

Unit cell a=3.855 b=5.103 c=5.103 alpha=90.00 beta=90.00 gamma=90.00
Site moments in Bohr magnetons follow the coordinates.
Element x y z (fractional)
1 Na 0.000 0.000 0.500  0.02
2 Na 0.000 0.500 0.000  0.02
3 Mo 0.500 0.500 0.500  4.08
4 Au 0.500 0.000 0.000  0.02
5 C 0.000 0.000 0.000  0.03

=====

12.
Tl2CSe: single point on PBEsol structure, SCAN.

## Properties
- formation energy from raw total energies (eV per formula unit) = 5.3
- raw total energy (eV/atom) = -42.395
- volume (Å³ per atom) = 22.2

Unit cell a=5.004 b=5.004 c=5.004 alpha=60.00 beta=60.00 gamma=60.00
Site moments in Bohr magnetons follow the coordinates.
Element x y z (fractional)
1 Tl 0.250 0.250 0.250  0.03
2 Tl 0.750 0.750 0.750  0.03
3 C 0.000 0.000 0.000  1.04
4 Se 0.500 0.500 0.500  0.15

=====

13.
ZnSb2Ru: single point on PBEsol structure, SCAN.

## Properties
- formation energy from raw total energies (eV per formula unit) = 1.8
- raw total energy (eV/atom) = -30.272
- volume (Å³ per atom) = 18.6

Unit cell a=4.075 b=4.075 c=5.318 alpha=112.52 beta=112.52 gamma=90.00
Element x y z (fractional)
1 Ru 0.250 0.750 0.500
2 Sb 0.000 0.000 0.000
3 Sb 0.750 0.250 0.500
4 Zn 0.500 0.500 0.000

=====

14.
MgTcHg2: single point on PBEsol structure, SCAN.

## Properties
- raw total energy (eV/atom) = -43.842
- energy of formation (kJ per mole of atoms) = 24
- volume (Å³ per atom) = 17.9

Unit cell a=2.935 b=5.023 c=5.607 alpha=115.16 beta=105.17 gamma=90.00
Element x y z (fractional)
1 Hg 0.991 0.906 0.982
2 Hg 0.751 0.328 0.502
3 Mg 0.510 0.430 0.020
4 Tc 0.248 0.837 0.495

=====

15.
NaNb2CuBi: single point on PBEsol structure, SCAN.

## Properties
- raw total energy (eV/atom) = -30.776
- energy of formation (kJ per mole of atoms) = 200
- volume (Å³ per atom) = 21.8

Unit cell a=4.668 b=4.668 c=5.006 alpha=90.00 beta=90.00 gamma=90.00
Element x y z (fractional)
1 Na 0.000 0.000 0.000
2 Nb 0.000 0.500 0.000
3 Nb 0.500 0.000 0.000
4 Bi 0.000 0.000 0.500
5 Cu 0.500 0.500 0.500

=====

16.
Ta2IrPt: single point on PBEsol structure, SCAN.

## Properties
- raw total energy (eV/atom) = -69.247
- energy of formation (kJ per mole of atoms) = -61
- volume (Å³ per atom) = 15.8

Unit cell a=3.924 b=3.924 c=4.964 alpha=113.28 beta=113.28 gamma=90.00
Element x y z (fractional)
1 Ir 0.000 0.000 0.000
2 Pt 0.250 0.750 0.500
3 Ta 0.500 0.500 0.000
4 Ta 0.750 0.250 0.500

=====

17.
BaMn3Sb: single point on PBEsol structure, SCAN.

## Properties
- formation energy from raw total energies (eV per formula unit) = 8.2
- raw total energy (eV/atom) = -24.668
- volume (Å³ per atom) = 25.5

Unit cell a=5.031 b=5.031 c=5.031 alpha=90.00 beta=90.00 gamma=90.00
Site moments in Bohr magnetons follow the coordinates.
Element x y z (fractional)
1 Sb 0.500 0.500 0.500  0.02
2 Mn 0.000 0.500 0.000  3.95
3 Mn 0.000 0.000 0.500  3.95
4 Mn 0.500 0.000 0.000  3.95
5 Ba 0.000 0.000 0.000  -0.33

=====

18.
Sc13Os3Br16: single point on PBEsol structure, SCAN.

## Properties
- formation energy from raw total energies (eV per formula unit) = -47.6
- raw total energy (eV/atom) = -23.739
- volume (Å³ per atom) = 27.6

Unit cell a=8.858 b=10.452 c=19.068 alpha=90.00 beta=90.00 gamma=90.00
Site moments in Bohr magnetons follow the coordinates.
Element x y z (fractional)
1 Sc 0.820 0.605 0.397  -0.07
2 Sc 0.820 0.395 0.603  -0.07
3 Sc 0.680 0.105 0.103  -0.07
4 Sc 0.680 0.895 0.897  -0.07
5 Sc 0.180 0.395 0.603  -0.07
6 Sc 0.180 0.605 0.397  -0.07
7 Sc 0.320 0.895 0.897  -0.07
8 Sc 0.320 0.105 0.103  -0.07
9 Sc 0.818 0.317 0.440  -0.08
10 Sc 0.818 0.683 0.560  -0.08
11 Sc 0.682 0.817 0.060  -0.08
12 Sc 0.682 0.183 0.940  -0.08
13 Sc 0.182 0.683 0.560  -0.08
14 Sc 0.182 0.317 0.440  -0.08
15 Sc 0.318 0.183 0.940  -0.08
16 Sc 0.318 0.817 0.060  -0.08
17 Sc 0.500 0.293 0.529  -0.08
18 Sc 0.500 0.707 0.471  -0.08
19 Sc 0.000 0.793 0.971  -0.08
20 Sc 0.000 0.207 0.029  -0.08
21 Sc 0.500 0.444 0.383  -0.10
22 Sc 0.500 0.556 0.617  -0.10
23 Sc 0.000 0.944 0.117  -0.10
24 Sc 0.000 0.056 0.883  -0.10
25 Sc 0.000 0.000 0.500  0.35
26 Sc 0.500 0.500 0.000  0.35
27 Os 0.662 0.500 0.500  0.01
28 Os 0.838 0.000 0.000  0.01
29 Os 0.338 0.500 0.500  0.01
30 Os 0.162 0.000 0.000  0.01
31 Os 0.000 0.500 0.500  0.02
32 Os 0.500 0.000 0.000  0.02
33 Br 0.000 0.129 0.380  0.00
34 Br 0.000 0.871 0.620  0.00
35 Br 0.500 0.629 0.120  0.00
36 Br 0.500 0.371 0.880  0.00
37 Br 0.766 0.406 0.307  -0.01
38 Br 0.766 0.594 0.693  -0.01
39 Br 0.734 0.906 0.193  -0.01
40 Br 0.734 0.094 0.807  -0.01
41 Br 0.234 0.594 0.693  -0.01
42 Br 0.234 0.406 0.307  -0.01
43 Br 0.266 0.094 0.807  -0.01
44 Br 0.266 0.906 0.193  -0.01
45 Br 0.770 0.140 0.552  0.00
46 Br 0.770 0.860 0.448  0.00
47 Br 0.730 0.640 0.948  0.00
48 Br 0.730 0.360 0.052  0.00
49 Br 0.230 0.860 0.448  0.00
50 Br 0.230 0.140 0.552  0.00
51 Br 0.270 0.360 0.052  0.00
52 Br 0.270 0.640 0.948  0.00
53 Br 0.000 0.714 0.302  0.00
54 Br 0.000 0.286 0.698  0.00
55 Br 0.500 0.214 0.198  0.00
56 Br 0.500 0.786 0.802  0.00
57 Br 0.500 0.181 0.401  0.00
58 Br 0.500 0.819 0.599  0.00
59 Br 0.000 0.681 0.099  0.00
60 Br 0.000 0.319 0.901  0.00
61 Br 0.500 0.310 0.672  0.00
62 Br 0.500 0.690 0.328  0.00
63 Br 0.000 0.810 0.828  0.00
64 Br 0.000 0.190 0.172  0.00

=====

19.
Cr2IrCl: single point on PBEsol structure, SCAN.

## Properties
- formation energy from raw total energies (eV per formula unit) = 2.6
- raw total energy (eV/atom) = -28.301
- volume (Å³ per atom) = 13.8

Unit cell a=4.272 b=4.272 c=4.272 alpha=60.00 beta=60.00 gamma=60.00
Site moments in Bohr magnetons follow the coordinates.
Element x y z (fractional)
1 Cr 0.000 0.000 0.000  3.17
2 Cr 0.250 0.250 0.250  -3.12
3 Ir 0.750 0.750 0.750  -0.25
4 Cl 0.500 0.500 0.500  0.04

=====

20.
NdCdIn: single point on PBEsol structure, SCAN.

## Properties
- raw total energy (eV/atom) = -36.399
- energy of formation (kJ per mole of atoms) = -58
- volume (Å³ per atom) = 25.7

Unit cell a=4.847 b=4.847 c=7.579 alpha=90.00 beta=90.00 gamma=120.00
Element x y z (fractional)
1 In 0.333 0.667 0.051
2 In 0.667 0.333 0.949
3 Nd 0.000 0.000 0.739
4 Nd 0.000 0.000 0.261
5 Cd 0.667 0.333 0.525
6 Cd 0.333 0.667 0.475

=====

21.
TcGePO2: single point on PBEsol structure, SCAN.

## Properties
- formation energy from raw total energies (eV per formula unit) = -0.7
- raw total energy (eV/atom) = -15.551
- volume (Å³ per atom) = 14.7

Unit cell a=3.491 b=3.491 c=6.023 alpha=90.00 beta=90.00 gamma=90.00
Site moments in Bohr magnetons follow the coordinates.
Element x y z (fractional)
1 P 0.000 0.000 0.500  0.04
2 Ge 0.000 0.000 0.000  0.01
3 Tc 0.500 0.500 0.500  3.02
4 O 0.000 0.500 0.000  0.07
5 O 0.500 0.000 0.000  0.07

=====

22.
Y4CrFe: single point on PBEsol structure, SCAN.

## Properties
- raw total energy (eV/atom) = -23.794
- energy of formation (kJ per mole of atoms) = 82
- volume (Å³ per atom) = 26.1

Unit cell a=6.047 b=6.047 c=6.047 alpha=60.00 beta=60.00 gamma=60.00
Site moments in Bohr magnetons follow the coordinates.
Element x y z (fractional)
1 Cr 0.750 0.750 0.750  3.99
2 Fe 0.000 0.000 0.000  3.21
3 Y 0.375 0.375 0.375  -0.18
4 Y 0.375 0.375 0.876  -0.18
5 Y 0.876 0.375 0.375  -0.18
6 Y 0.375 0.876 0.375  -0.18

=====

23.
MgSc2Cu: single point on PBEsol structure, SCAN.

## Properties
- raw total energy (eV/atom) = -12.189
- energy of formation (kJ per mole of atoms) = -3
- volume (Å³ per atom) = 19.4

Unit cell a=3.627 b=4.722 c=5.427 alpha=115.79 beta=109.52 gamma=90.00
Element x y z (fractional)
1 Cu 0.000 0.500 0.000
2 Mg 0.500 0.000 0.000
3 Sc 0.723 0.723 0.447
4 Sc 0.277 0.277 0.553

=====

24.
ScTlOs2: single point on PBEsol structure, SCAN.

## Properties
- raw total energy (eV/atom) = -57.278
- energy of formation (kJ per mole of atoms) = 30
- volume (Å³ per atom) = 16.6

Unit cell a=3.417 b=4.404 c=4.404 alpha=90.00 beta=90.00 gamma=90.00
Site moments in Bohr magnetons follow the coordinates.
Element x y z (fractional)
1 Os 0.000 0.000 0.500  0.38
2 Os 0.000 0.500 0.000  0.38
3 Sc 0.500 0.500 0.500  -0.04
4 Tl 0.500 0.000 0.000  -0.01

=====

25.
Mg2BeTl: single point on PBEsol structure, SCAN.

## Properties
- raw total energy (eV/atom) = -21.377
- energy of formation (kJ per mole of atoms) = 28
- volume (Å³ per atom) = 19.8

Unit cell a=3.160 b=3.160 c=7.935 alpha=90.00 beta=90.00 gamma=89.85
Element x y z (fractional)
1 Be 0.500 0.500 0.243
2 Tl 0.000 0.000 0.459
3 Mg 0.000 0.000 0.044
4 Mg 0.500 0.500 0.754

=====

26.
HgMoPb3: single point on PBEsol structure, SCAN.

## Properties
- raw total energy (eV/atom) = -64.890
- energy of formation (kJ per mole of atoms) = 115
- volume (Å³ per atom) = 34.2

Unit cell a=5.548 b=5.548 c=5.548 alpha=90.00 beta=90.00 gamma=90.00
Site moments in Bohr magnetons follow the coordinates.
Element x y z (fractional)
1 Pb 0.000 0.500 0.000  -0.05
2 Pb 0.000 0.000 0.500  -0.05
3 Pb 0.500 0.000 0.000  -0.05
4 Mo 0.500 0.500 0.500  4.12
5 Hg 0.000 0.000 0.000  0.00